<P>
Density functional theory data (GGA-PBE) for crystalline PrNd12Tm6 at its relaxed geometry.

Cell lengths 8.672, 8.672, 8.672 Å; angles 88.80, 88.80, 88.80 degrees
Element x y z (fractional)
Nd  0.983  0.804  0.636
Nd  0.567  0.218  0.464
Nd  0.636  0.983  0.804
Nd  0.017  0.196  0.364
Nd  0.364  0.017  0.196
Nd  0.464  0.567  0.218
Nd  0.433  0.782  0.536
Nd  0.218  0.464  0.567
Nd  0.782  0.536  0.433
Nd  0.804  0.636  0.983
Nd  0.196  0.364  0.017
Nd  0.536  0.433  0.782
Tm  0.258  0.100  0.701
Tm  0.701  0.258  0.100
Tm  0.100  0.701  0.258
Tm  0.742  0.900  0.299
Tm  0.900  0.299  0.742
Tm  0.299  0.742  0.900
Pr  0.000  0.000  0.000

## Properties
SG: R-3 (148)

<Q>
Density functional theory data (GGA-PBE) for crystalline PrNd12Tm6 at its relaxed geometry.

Cell lengths 8.848, 8.848, 8.848 Å; angles 99.09, 99.09, 99.09 degrees
Element x y z (fractional)
Nd  0.500  0.242  0.758
Nd  0.646  0.646  0.918
Nd  0.354  0.354  0.082
Nd  0.242  0.500  0.758
Nd  0.500  0.758  0.242
Nd  0.354  0.082  0.354
Nd  0.646  0.918  0.646
Nd  0.082  0.354  0.354
Nd  0.242  0.758  0.500
Nd  0.918  0.646  0.646
Nd  0.758  0.500  0.242
Nd  0.758  0.242  0.500
Tm  0.900  0.337  0.900
Tm  0.100  0.663  0.100
Tm  0.337  0.900  0.900
Tm  0.900  0.900  0.337
Tm  0.100  0.100  0.663
Tm  0.663  0.100  0.100
Pr  0.000  0.000  0.000

## Properties
SG: R-3m (166)

Result of the stability comparison: <P> is the most stable of them.